Entry 1:
First-principles (GGA-PBE) data for a geometry-optimized Ba2AlFe structure, as listed in Alexandria via LeMat-Bulk.

Properties
The total magnetic moment is 2.2 μB per formula unit. The space-group type is Imm2. The formation energy is 0.2700 eV/atom. The value obtained for the total energy is -14.97 eV/cell.

abc: 6.611 6.611 6.611
angles: 144.82 129.01 63.46
Fractional coordinates of all 4 atoms:
Ba  0.027  0.027  0.000
Ba  0.719  0.219  0.500
Fe  0.442  0.442  0.000
Al  0.313  0.813  0.500

Entry 2:
First-principles (GGA-PBE) data for a geometry-optimized La2NdPbN structure, as listed in Alexandria via LeMat-Bulk.

Properties
The formation energy from raw total energies comes out at -917.0 meV/atom. The total magnetic moment is 0.0 μB per formula unit. The space-group type is P4/mmm. The value obtained for the total energy is -31.24 eV/cell.

abc: 5.096 5.109 5.109
angles: 90.00 90.00 90.00
Fractional coordinates of all 5 atoms:
Nd  0.500  0.000  0.000
La  0.000  0.500  0.000
La  0.000  0.000  0.500
Pb  0.500  0.500  0.500
N  0.000  0.000  0.000